A crystal of KCaAu4 relaxed with PBEsol. Source: Alexandria, functional SCAN.

Calculated values
- formation energy (eV/atom) = -0.542

Unit cell a=5.6324 b=5.6324 c=5.6324 alpha=60.00 beta=60.00 gamma=60.00
Closest atoms and distances in Å follow each position.
Atoms (fractional coordinates):
Ca (0.7500, 0.7500, 0.7500)  12 Au 3.30, 4 K 3.45
Au (0.3751, 0.3751, 0.3751)  6 Au 2.81-2.82
Au (0.3751, 0.3751, 0.8748)  6 Au 2.81-2.82
Au (0.8748, 0.3751, 0.3751)  6 Au 2.81-2.82
Au (0.3751, 0.8748, 0.3751)  6 Au 2.81-2.82
K (0.0000, 0.0000, 0.0000)  12 Au 3.30, 4 Ca 3.45

---

A crystal of Ca2HfAlC relaxed with PBEsol. Source: Alexandria, functional SCAN.

Calculated values
- formation energy (eV/atom) = 1.103

Unit cell a=4.0389 b=5.9852 c=5.9852 alpha=90.00 beta=90.00 gamma=90.00
Closest atoms and distances in Å follow each position.
Atoms (fractional coordinates):
C (0.5000, 0.0000, 0.0000)  2 Hf 2.02
Ca (0.0000, 0.0000, 0.5000)  2 Hf 2.99
Ca (0.0000, 0.5000, 0.0000)  2 Hf 2.99
Hf (0.0000, 0.0000, 0.0000)  2 C 2.02
Al (0.5000, 0.5000, 0.5000)  8 Ca 3.61, 2 Al 4.04